No. 1
## DyMgAg (SCAN)

Data for DyMgAg at its PBEsol-relaxed geometry.

Results
**Size of the total moment**: 0.0 μB per cell
**ΔH_f (0 K)**: -0.3427 eV per atom

Unit cell a=4.045 b=7.609 c=7.609 alpha=120.00 beta=90.00 gamma=90.00
Positions (direct):
Mg: 0.000 0.247 0.000
Mg: 0.000 0.000 0.247
Mg: 0.000 0.753 0.753
Dy: 0.500 0.000 0.587
Ag: 0.000 0.667 0.333
Ag: 0.500 0.000 0.000
Dy: 0.500 0.413 0.413
Dy: 0.500 0.587 0.000
Ag: 0.000 0.333 0.667

No. 2
## OsWBr2 (SCAN)

Data for OsWBr2 at its PBEsol-relaxed geometry.

Results
**E_form (uncorrected)**: 1987 meV per atom
**Size of the total moment**: 0.0 μB per cell

Unit cell a=3.149 b=4.507 c=4.507 alpha=90.00 beta=90.00 gamma=90.00
Positions (direct):
Br: 0.000 0.000 0.500
Br: 0.000 0.500 0.000
Os: 0.500 0.500 0.500
W: 0.500 0.000 0.000

No. 3
## K3RuF6 (SCAN)

Data for K3RuF6 at its PBEsol-relaxed geometry.

Results
**E_form (uncorrected)**: -2527 meV per atom
**Size of the total moment**: 1.0 μB per cell

Unit cell a=6.251 b=6.251 c=6.251 alpha=60.00 beta=60.00 gamma=60.00
Each line ends with the local moment (μB).
Positions (direct):
K: 0.750 0.750 0.750  0.00
F: 0.275 0.275 0.725  0.02
F: 0.725 0.275 0.275  0.02
F: 0.275 0.725 0.725  0.02
Ru: 0.500 0.500 0.500  0.83
K: 0.000 0.000 0.000  0.00
F: 0.725 0.275 0.725  0.02
K: 0.250 0.250 0.250  0.00
F: 0.275 0.725 0.275  0.02
F: 0.725 0.725 0.275  0.02

No. 4
## SmCu2 (SCAN)

Data for SmCu2 at its PBEsol-relaxed geometry.

Results
**Size of the total moment**: 0.0 μB per cell
**ΔH_f (0 K)**: -0.2567 eV per atom

Unit cell a=4.276 b=5.423 c=5.423 alpha=77.57 beta=66.78 gamma=66.78
Positions (direct):
Cu: 0.165 0.783 0.887
Sm: 0.458 0.792 0.292
Cu: 0.835 0.613 0.717
Sm: 0.542 0.208 0.708
Cu: 0.165 0.387 0.283
Cu: 0.835 0.217 0.113

No. 5
## Zr3Si (SCAN)

Data for Zr3Si at its PBEsol-relaxed geometry.

Results
**E_form (uncorrected)**: -98 meV per atom
**Size of the total moment**: 0.0 μB per cell

Unit cell a=3.193 b=3.193 c=9.437 alpha=80.26 beta=80.26 gamma=60.00
Positions (direct):
Zr: 0.743 0.743 0.771
Zr: 0.257 0.257 0.229
Si: 0.000 0.000 0.000
Zr: 0.500 0.500 0.500

No. 6
## AlPtRh2 (SCAN)

Data for AlPtRh2 at its PBEsol-relaxed geometry.

Results
**Size of the total moment**: 0.7 μB per cell
**ΔH_f (0 K)**: -0.6393 eV per atom

Unit cell a=3.842 b=3.842 c=4.634 alpha=114.50 beta=114.50 gamma=90.00
Each line ends with the local moment (μB).
Positions (direct):
Pt: 0.250 0.750 0.500  0.11
Rh: 0.000 0.000 0.000  0.42
Al: 0.500 0.500 0.000  -0.01
Rh: 0.750 0.250 0.500  0.25

No. 7
## BaLiTc2 (SCAN)

Data for BaLiTc2 at its PBEsol-relaxed geometry.

Results
**Size of the total moment**: 0.0 μB per cell
**ΔH_f (0 K)**: 0.8255 eV per atom

Unit cell a=3.368 b=3.368 c=7.084 alpha=90.00 beta=90.00 gamma=90.00
Positions (direct):
Li: 0.500 0.500 0.500
Ba: 0.500 0.500 0.000
Tc: 0.000 0.000 0.351
Tc: 0.000 0.000 0.649

No. 8
## BaTcOs (SCAN)

Data for BaTcOs at its PBEsol-relaxed geometry.

Results
**Size of the total moment**: 0.0 μB per cell
**ΔH_f (0 K)**: 1.4901 eV per atom

Unit cell a=4.548 b=4.548 c=4.548 alpha=60.00 beta=60.00 gamma=60.00
Positions (direct):
Tc: 0.250 0.250 0.250
Os: 0.500 0.500 0.500
Ba: 0.000 0.000 0.000